(1)
First-principles (PBE) data for La4NiI5 after structural relaxation, as listed in the Alexandria database.

Structure (POSCAR):
```
La4NiI5
1.0
4.242 0.000 0.000
0.000 9.278 -0.446
-2.121 -1.789 9.854
Ni La I
1 4 5
Direct
0.500 0.000 0.000 Ni
0.001 0.795 0.002 La
0.351 0.921 0.703 La
0.999 0.205 0.998 La
0.649 0.079 0.297 La
0.167 0.352 0.333 I
0.833 0.648 0.667 I
0.500 0.500 0.000 I
0.175 0.822 0.349 I
0.825 0.178 0.651 I
```

* formation energy without anion corrections: -1.15 eV/atom
* space-group type: C2/m



(2)
First-principles (PBE) data for SrCuI3 after structural relaxation, as listed in the Alexandria database.

Structure (POSCAR):
```
SrCuI3
1.0
-2.802 0.571 -4.759
-4.589 -1.913 2.472
-1.386 5.181 1.437
I Cu Sr
3 1 1
Direct
0.500 0.000 0.000 I
0.000 0.000 0.500 I
0.000 0.500 0.000 I
0.000 0.000 0.000 Cu
0.500 0.500 0.500 Sr
```

* formation energy without anion corrections: -0.75 eV/atom
* space-group type: Pm-3m
* excess energy over the best structure of this formula in the dataset: 6.49 kcal/mol of atoms



(3)
First-principles (PBE) data for DyFe3Ge3 after structural relaxation, as listed in the Alexandria database.

Structure (POSCAR):
```
DyFe3Ge3
1.0
6.907 0.001 3.990
2.304 6.518 3.990
0.003 0.002 7.974
Fe Dy Ge
6 2 6
Direct
0.142 0.858 0.142 Fe
0.858 0.858 0.142 Fe
0.142 0.142 0.858 Fe
0.858 0.142 0.142 Fe
0.858 0.142 0.858 Fe
0.142 0.858 0.858 Fe
0.750 0.750 0.750 Dy
0.250 0.250 0.250 Dy
0.338 0.662 0.338 Ge
0.662 0.662 0.338 Ge
0.338 0.338 0.662 Ge
0.338 0.662 0.662 Ge
0.662 0.338 0.338 Ge
0.662 0.338 0.662 Ge
```

* space-group type: R-3m
* excess energy over the best structure of this formula in the dataset: 25.25 kcal/mol of atoms
* DFT formation energy: 840 meV/atom



(4)
First-principles (PBE) data for Hf3ZrIn4 after structural relaxation, as listed in the Alexandria database.

Structure (POSCAR):
```
Hf3ZrIn4
1.0
-5.990 0.903 1.874
0.830 -4.251 4.701
2.646 6.439 5.355
Zr In Hf
2 8 6
Direct
0.314 0.500 0.500 Zr
0.814 0.500 0.000 Zr
0.564 0.750 0.250 In
0.064 0.250 0.750 In
0.314 0.000 0.000 In
0.064 0.250 0.250 In
0.814 0.000 0.500 In
0.814 0.500 0.500 In
0.564 0.750 0.750 In
0.314 0.500 0.000 In
0.064 0.753 0.750 Hf
0.064 0.753 0.250 Hf
0.564 0.247 0.750 Hf
0.314 0.000 0.500 Hf
0.814 0.000 0.000 Hf
0.564 0.247 0.250 Hf
```

* space-group type: Pmna
* excess energy over the best structure of this formula in the dataset: 1.21 kcal/mol of atoms
* DFT formation energy: -110 meV/atom



(5)
First-principles (PBE) data for CeCo2H8 after structural relaxation, as listed in the Alexandria database.

Structure (POSCAR):
```
CeCo2H8
1.0
-2.810 1.175 2.395
1.438 -3.007 3.159
1.843 4.205 0.094
Co H Ce
2 8 1
Direct
0.000 0.328 0.672 Co
0.000 0.672 0.328 Co
0.500 0.315 0.685 H
0.999 0.685 0.975 H
0.001 0.025 0.315 H
0.238 0.501 0.501 H
0.500 0.685 0.315 H
0.001 0.315 0.025 H
0.762 0.499 0.499 H
0.999 0.975 0.685 H
0.500 0.000 0.000 Ce
```

* space-group type: Cmmm
* excess energy over the best structure of this formula in the dataset: 0.00 kcal/mol of atoms



(6)
First-principles (PBE) data for Zr2AgAu after structural relaxation, as listed in the Alexandria database.

Structure (POSCAR):
```
Zr2AgAu
1.0
3.083 0.022 0.000
-0.024 3.084 0.000
0.000 0.000 8.412
Zr Ag Au
2 1 1
Direct
0.000 0.000 0.505 Zr
0.000 0.000 0.995 Zr
0.500 0.500 0.250 Ag
0.500 0.500 0.750 Au
```

* space-group type: P4/mmm
* DFT formation energy: -246 meV/atom



(7)
First-principles (PBE) data for La4Ce3HoAs8 after structural relaxation, as listed in the Alexandria database.

Structure (POSCAR):
```
La4Ce3HoAs8
1.0
-4.460 -7.295 0.312
1.751 -0.713 8.361
-3.660 7.127 -3.004
As La Ce Ho
8 4 3 1
Direct
0.755 0.262 0.510 As
0.245 0.738 0.993 As
0.748 0.738 0.993 As
0.755 0.262 0.007 As
0.746 0.739 0.493 As
0.254 0.261 0.507 As
0.245 0.738 0.490 As
0.252 0.262 0.007 As
0.000 0.000 0.000 La
0.500 0.000 0.500 La
0.000 0.000 0.500 La
0.500 0.000 0.000 La
0.500 0.500 0.000 Ce
0.500 0.500 0.500 Ce
0.000 0.500 0.500 Ce
0.000 0.500 0.000 Ho
```

* space-group type: R-3m
* DFT formation energy: -1508 meV/atom



(8)
First-principles (PBE) data for MnAl2Rh after structural relaxation, as listed in the Alexandria database.

Structure (POSCAR):
```
MnAl2Rh
1.0
4.815 -0.184 -0.417
2.194 4.290 0.417
-3.321 -2.366 2.600
Rh Al Mn
1 2 1
Direct
0.250 0.750 0.500 Rh
0.999 0.999 0.000 Al
0.750 0.250 0.500 Al
0.501 0.501 0.000 Mn
```

* space-group type: Imm2
* DFT formation energy: -513 meV/atom



Number 1: DFT total energy -4.477 eV per atom. Number 2: DFT total energy -2.833 eV per atom. Number 3: DFT total energy -5.423 eV per atom. Number 4: DFT total energy -6.280 eV per atom. Number 5: DFT total energy -4.443 eV per atom. Number 6: DFT total energy -6.052 eV per atom. Number 7: DFT total energy -6.464 eV per atom. Number 8: DFT total energy -6.514 eV per atom.